No. 1
# LaAl2Re2C | Alexandria | PBE | optimized geometry
data_LaAl2Re2C
_chemical_formula_sum 'La1 Al2 Re2 C1'
_cell_length_a 4.2014
_cell_length_b 4.2014
_cell_length_c 5.7500
_cell_angle_alpha 90.00
_cell_angle_beta 90.00
_cell_angle_gamma 90.00
_space_group_name_H-M_alt 'P 4/m m m'
_space_group_IT_number 123
_space_group_name_Hall '-P 4 2'
loop_
_atom_site_label
_atom_site_type_symbol
_atom_site_fract_x
_atom_site_fract_y
_atom_site_fract_z
_atom_site_occupancy
La1 La 0.0000 0.0000 0.0000 1
Al1 Al 0.5000 0.5000 0.2294 1
Re1 Re 0.0000 0.5000 0.5000 1
C1 C 0.0000 0.0000 0.5000 1
# * crystal system: tetragonal
# * spin magnetization: 0.00 Bohr magnetons per cell
# * DOS at the Fermi energy: 2.55 states/eV/f.u.
# * total energy: -48.31 eV for the cell shown
# * E_form: -0.30 eV per atom

---

No. 2
# La2Al2Re2C | Alexandria | PBE | optimized geometry
data_La2Al2Re2C
_chemical_formula_sum 'La4 Al4 Re4 C2'
_cell_length_a 11.3514
_cell_length_b 3.9099
_cell_length_c 7.7609
_cell_angle_alpha 90.00
_cell_angle_beta 125.38
_cell_angle_gamma 90.00
_space_group_name_H-M_alt 'C 1 2/m 1'
_space_group_IT_number 12
loop_
_space_group_symop_operation_xyz
'x,y,z'
'-x,-y,-z'
'-x,y,-z'
'x,-y,z'
'x+1/2,y+1/2,z'
'-x+1/2,-y+1/2,-z'
'-x+1/2,y+1/2,-z'
'x+1/2,-y+1/2,z'
loop_
_atom_site_label
_atom_site_type_symbol
_atom_site_fract_x
_atom_site_fract_y
_atom_site_fract_z
_atom_site_occupancy
La1 La 0.0744 0.0000 0.2923 1
Al1 Al 0.1380 0.5000 0.6777 1
Re1 Re 0.1979 0.5000 0.0603 1
C1 C 0.0000 0.5000 0.0000 1
# * crystal system: monoclinic
# * spin magnetization: 0.00 Bohr magnetons per cell
# * DOS at the Fermi energy: 2.58 states/eV/f.u.
# * total energy: -106.99 eV for the cell shown
# * E_form: -0.29 eV per atom

---

No. 3
# La2AlRuC | Alexandria | PBE | optimized geometry
data_La2AlRuC
_chemical_formula_sum 'La2 Al1 Ru1 C1'
_cell_length_a 5.3461
_cell_length_b 5.3461
_cell_length_c 3.9287
_cell_angle_alpha 90.00
_cell_angle_beta 90.00
_cell_angle_gamma 90.00
_space_group_name_H-M_alt 'P 4/m m m'
_space_group_IT_number 123
_space_group_name_Hall '-P 4 2'
loop_
_atom_site_label
_atom_site_type_symbol
_atom_site_fract_x
_atom_site_fract_y
_atom_site_fract_z
_atom_site_occupancy
La1 La 0.0000 0.5000 0.0000 1
Al1 Al 0.0000 0.0000 0.5000 1
Ru1 Ru 0.5000 0.5000 0.5000 1
C1 C 0.5000 0.5000 0.0000 1
# * crystal system: tetragonal
# * spin magnetization: 0.00 Bohr magnetons per cell
# * DOS at the Fermi energy: 3.24 states/eV/f.u.
# * total energy: -33.30 eV for the cell shown
# * E_form: -0.24 eV per atom